No. 1
Below is a geometry-optimized Ba2Cd2In structure, with properties calculated at the GGA-PBE level.

Computed properties:
ΔE to the lowest computed polymorph = 131 meV/atom

a = 10.771 Å, b = 10.771 Å, c = 10.771 Å
α = 157.05°, β = 157.05°, γ = 32.69°
Positions (direct):
Ba 0.100 0.100 0.000
Ba 0.900 0.900 0.000
Cd 0.250 0.750 0.500
Cd 0.750 0.250 0.500
In 0.500 0.500 0.000

No. 2
Below is a geometry-optimized BaP3H10C3NO9 structure, with properties calculated at the GGA-PBE level.

Computed properties:
E_tot = -6.127 eV/atom

a = 7.747 Å, b = 8.677 Å, c = 9.204 Å
α = 101.82°, β = 95.17°, γ = 106.46°
Positions (direct):
Ba 0.109 0.276 0.444
Ba 0.891 0.724 0.556
P 0.011 0.106 0.814
P 0.288 0.663 0.817
P 0.370 0.685 0.403
P 0.630 0.315 0.597
P 0.712 0.337 0.183
P 0.989 0.894 0.186
H 0.029 0.665 0.009
H 0.060 0.634 0.197
H 0.167 0.117 0.032
H 0.301 0.548 0.038
H 0.314 0.900 0.099
H 0.373 0.945 0.349
H 0.454 0.126 0.729
H 0.482 0.797 0.690
H 0.490 0.492 0.712
H 0.496 0.290 0.958
H 0.504 0.710 0.042
H 0.510 0.508 0.288
H 0.518 0.203 0.310
H 0.546 0.874 0.271
H 0.627 0.055 0.651
H 0.686 0.100 0.901
H 0.699 0.452 0.962
H 0.833 0.883 0.968
H 0.940 0.366 0.803
H 0.971 0.335 0.991
C 0.087 0.724 0.127
C 0.355 0.671 0.018
C 0.402 0.836 0.285
C 0.598 0.164 0.715
C 0.645 0.329 0.982
C 0.913 0.276 0.873
N 0.291 0.788 0.130
N 0.709 0.212 0.870
O 0.062 0.096 0.659
O 0.101 0.683 0.794
O 0.132 0.050 0.170
O 0.184 0.650 0.450
O 0.190 0.157 0.935
O 0.309 0.501 0.729
O 0.378 0.515 0.304
O 0.445 0.817 0.795
O 0.464 0.235 0.473
O 0.536 0.765 0.527
O 0.555 0.183 0.205
O 0.622 0.485 0.696
O 0.691 0.499 0.271
O 0.810 0.843 0.065
O 0.816 0.350 0.550
O 0.868 0.950 0.830
O 0.899 0.317 0.206
O 0.938 0.904 0.341

no.,Fermi-level density of states (states/eV/f.u.),magnetic moment (μB/cell)
1,3.93,0.00
2,0.00,0.00